# 1
Ba2CeNi3H12: optimized geometry, PBE.

a = 6.288 Å, b = 6.288 Å, c = 6.288 Å
α = 63.92°, β = 63.92°, γ = 63.92°
Element x y z (fractional)
Ba  0.111  0.111  0.111
Ba  0.889  0.889  0.889
Ce  0.500  0.500  0.500
Ni  0.000  0.500  0.500
Ni  0.500  0.000  0.500
Ni  0.500  0.500  0.000
H  0.078  0.620  0.620
H  0.233  0.233  0.584
H  0.233  0.584  0.233
H  0.380  0.380  0.922
H  0.380  0.922  0.380
H  0.416  0.767  0.767
H  0.584  0.233  0.233
H  0.620  0.078  0.620
H  0.620  0.620  0.078
H  0.767  0.416  0.767
H  0.767  0.767  0.416
H  0.922  0.380  0.380

Summary:
Crystal system: trigonal
Raw total energy (eV per cell): -72.79
Total magnetic moment (μB per formula unit): 1.12
D(E_F) (states/eV/f.u.): 8.26
Space group: R-3m (166)

# 2
Pm9Pr4Nd11: optimized geometry, PBE.

a = 15.671 Å, b = 15.671 Å, c = 3.766 Å
α = 90.00°, β = 90.00°, γ = 113.13°
Element x y z (fractional)
Pm  0.000  0.000  0.000
Pm  0.133  0.663  0.000
Pm  0.289  0.437  0.000
Pm  0.337  0.867  0.000
Pm  0.437  0.289  0.000
Pm  0.563  0.711  0.000
Pm  0.663  0.133  0.000
Pm  0.711  0.563  0.000
Pm  0.867  0.337  0.000
Pr  0.056  0.257  0.000
Pr  0.257  0.056  0.000
Pr  0.743  0.944  0.000
Pr  0.944  0.743  0.000
Nd  0.095  0.457  0.500
Nd  0.133  0.867  0.500
Nd  0.212  0.212  0.500
Nd  0.340  0.660  0.500
Nd  0.457  0.095  0.500
Nd  0.500  0.500  0.500
Nd  0.543  0.905  0.500
Nd  0.660  0.340  0.500
Nd  0.788  0.788  0.500
Nd  0.867  0.133  0.500
Nd  0.905  0.543  0.500

Summary:
Crystal system: orthorhombic
Total magnetic moment (μB per formula unit): 0.00
D(E_F) (states/eV/f.u.): 33.76
Calculated formation energy (eV/atom): 0.063
Space group: Cmmm (65)

# 3
TlPb: optimized geometry, PBE.

a = 11.859 Å, b = 11.859 Å, c = 11.859 Å
α = 17.07°, β = 17.07°, γ = 17.07°
Element x y z (fractional)
Tl  0.000  0.000  0.000
Tl  0.418  0.418  0.418
Pb  0.168  0.168  0.168
Pb  0.584  0.584  0.584

Summary:
Crystal system: trigonal
Total magnetic moment (μB per formula unit): 0.00
D(E_F) (states/eV/f.u.): 1.05
Calculated formation energy (eV/atom): 0.001
Space group: R3m (160)

# 4
CeNiOs: optimized geometry, PBE.

a = 4.138 Å, b = 4.138 Å, c = 3.860 Å
α = 90.00°, β = 90.00°, γ = 120.00°
Element x y z (fractional)
Ce  0.000  0.000  0.000
Ni  0.667  0.333  0.500
Os  0.333  0.667  0.500

Summary:
Crystal system: hexagonal
Total magnetic moment (μB per formula unit): 0.00
D(E_F) (states/eV/f.u.): 0.78
Calculated formation energy (eV/atom): -0.128
Space group: P-6m2 (187)

# 5
CsTl2Hg: optimized geometry, PBE.

a = 7.742 Å, b = 7.742 Å, c = 7.742 Å
α = 39.62°, β = 39.62°, γ = 39.62°
Element x y z (fractional)
Cs  0.000  0.000  0.000
Tl  0.208  0.208  0.208
Tl  0.792  0.792  0.792
Hg  0.500  0.500  0.500

Summary:
Crystal system: trigonal
Total magnetic moment (μB per formula unit): 0.00
D(E_F) (states/eV/f.u.): 2.94
Calculated formation energy (eV/atom): -0.100
Space group: R-3m (166)

# 6
MgScW3: optimized geometry, PBE.

a = 4.680 Å, b = 4.680 Å, c = 4.680 Å
α = 90.00°, β = 90.00°, γ = 90.00°
Element x y z (fractional)
Mg  0.000  0.000  0.000
Sc  0.500  0.500  0.500
W  0.000  0.500  0.500
W  0.500  0.000  0.500
W  0.500  0.500  0.000

Summary:
Crystal system: cubic
Total magnetic moment (μB per formula unit): 0.00
D(E_F) (states/eV/f.u.): 5.03
Calculated formation energy (eV/atom): 2.231
Space group: Pm-3m (221)

# 7
BeP2IrO: optimized geometry, PBE.

a = 4.811 Å, b = 4.811 Å, c = 3.659 Å
α = 90.00°, β = 90.00°, γ = 90.00°
Element x y z (fractional)
Be  0.000  0.000  0.000
P  0.000  0.500  0.500
P  0.500  0.000  0.500
Ir  0.500  0.500  0.500
O  0.500  0.500  0.000

Summary:
Crystal system: tetragonal
Total magnetic moment (μB per formula unit): 0.00
D(E_F) (states/eV/f.u.): 6.11
Formation energy from raw total energies (eV/atom): 0.627
Space group: P4/mmm (123)

# 8
La2Mg5Ag3: optimized geometry, PBE.

a = 13.808 Å, b = 13.808 Å, c = 7.432 Å
α = 90.00°, β = 90.00°, γ = 159.95°
Element x y z (fractional)
La  0.020  0.980  0.500
La  0.324  0.676  0.560
La  0.676  0.324  0.060
La  0.980  0.020  0.000
Mg  0.101  0.899  0.859
Mg  0.206  0.794  0.374
Mg  0.211  0.789  0.767
Mg  0.371  0.629  0.034
Mg  0.445  0.555  0.681
Mg  0.555  0.445  0.181
Mg  0.629  0.371  0.534
Mg  0.789  0.211  0.267
Mg  0.794  0.206  0.874
Mg  0.899  0.101  0.359
Ag  0.110  0.890  0.243
Ag  0.268  0.732  0.074
Ag  0.452  0.548  0.291
Ag  0.548  0.452  0.791
Ag  0.732  0.268  0.574
Ag  0.890  0.110  0.743

Summary:
Crystal system: orthorhombic
Total magnetic moment (μB per formula unit): 0.00
D(E_F) (states/eV/f.u.): 8.06
Calculated formation energy (eV/atom): -0.212
Space group: Cmc2_1 (36)

# 9
LiSc2Ta: optimized geometry, PBE.

a = 2.938 Å, b = 2.938 Å, c = 9.828 Å
α = 90.00°, β = 90.00°, γ = 90.00°
Element x y z (fractional)
Li  0.000  0.000  0.000
Sc  0.000  0.000  0.542
Sc  0.500  0.500  0.260
Ta  0.500  0.500  0.758

Summary:
Crystal system: tetragonal
Total magnetic moment (μB per formula unit): 0.00
D(E_F) (states/eV/f.u.): 3.79
Calculated formation energy (eV/atom): 0.262
Space group: P4mm (99)

# 10
MgH4: optimized geometry, PBE.

a = 3.721 Å, b = 3.721 Å, c = 3.721 Å
α = 90.00°, β = 90.00°, γ = 90.00°
Element x y z (fractional)
Mg  0.000  0.000  0.000
H  0.000  0.000  0.500
H  0.000  0.500  0.000
H  0.500  0.000  0.000
H  0.500  0.500  0.500

Summary:
Crystal system: cubic
Raw total energy (eV per cell): -10.81
Total magnetic moment (μB per formula unit): 0.95
D(E_F) (states/eV/f.u.): 2.19
Space group: Pm-3m (221)

# 11
CaErSi: optimized geometry, PBE.

a = 4.898 Å, b = 4.898 Å, c = 4.898 Å
α = 60.00°, β = 60.00°, γ = 60.00°
Element x y z (fractional)
Ca  0.000  0.000  0.000
Er  0.500  0.500  0.500
Si  0.750  0.750  0.750

Summary:
Crystal system: cubic
Total magnetic moment (μB per formula unit): 0.00
D(E_F) (states/eV/f.u.): 1.55
Formation energy from raw total energies (eV/atom): -0.392
Space group: F-43m (216)

# 12
CePr2Ge: optimized geometry, PBE.

a = 3.959 Å, b = 3.959 Å, c = 7.077 Å
α = 90.00°, β = 90.00°, γ = 90.00°
Element x y z (fractional)
Ce  0.000  0.000  0.000
Pr  0.500  0.500  0.282
Pr  0.500  0.500  0.718
Ge  0.000  0.000  0.500

Summary:
Crystal system: tetragonal
Total magnetic moment (μB per formula unit): 0.21
D(E_F) (states/eV/f.u.): 5.79
Calculated formation energy (eV/atom): -0.284
Space group: P4/mmm (123)

Question: Which value of D(E_F) does entry 8 give?
Answer: 8.06 states/eV/f.u.

Question: The lowest D(E_F) belongs to which entry?
Answer: CeNiOs

Question: The highest D(E_F) belongs to which entry?
Answer: Pm9Pr4Nd11